[1]
A plane-wave DFT calculation with PBE was carried out for PdAu2Cl2 after structural relaxation.

Cell and atoms, written as extended XYZ:
```
5
Lattice="3.7233 0.0000 0.0000 0.0000 3.7233 0.0000 1.8617 1.8617 7.9722" Properties=species:S:1:pos:R:3 pbc="T T T"
Au 3.7233 1.8617 3.9861
Au 1.8617 3.7233 3.9861
Pd 0.0000 0.0000 0.0000
Cl 1.8617 1.8617 1.4613
Cl 3.7233 3.7233 6.5109
```

## Properties
Symmetry   I4/mmm, No. 139
E_form (uncorrected)   2.069 eV per formula unit
Energy   -13.4 eV for the cell shown
Magnetic moment   0.929 μB/cell
DOS(E_F)   1.0238 states/eV per atom

=====

[2]
A plane-wave DFT calculation with PBE was carried out for PdAuCl3 after structural relaxation.

Cell and atoms, written as extended XYZ:
```
5
Lattice="-3.0613 -1.7506 3.3315 3.7180 -0.7418 3.0267 -0.5828 4.4632 1.8097" Properties=species:S:1:pos:R:3 pbc="T T T"
Au 0.0369 0.9854 4.0840
Pd 0.0000 0.0000 0.0000
Cl 1.8590 -0.3709 1.5134
Cl -0.2914 2.2316 0.9049
Cl -1.5307 -0.8753 1.6657
```

## Properties
Symmetry   Pm-3m, No. 221
E_form (uncorrected)   0.318 eV per formula unit
Energy   -13.7 eV for the cell shown
Magnetic moment   0.000 μB/cell
DOS(E_F)   0.2756 states/eV per atom